Material: La3Cr5S12
Method: DFT, PBE
State: relaxed

Summary:
Energy relative to the elements, uncorrected (eV/atom): -1.144

```
La3Cr5S12
1.0
13.1321 0.0000 0.0000
-4.3774 12.3810 0.0000
-4.3774 -6.1905 10.7223
La S Cr
12 48 20
Direct
0.8750 0.1250 0.2500
0.8750 0.7500 0.1250
0.1250 0.2500 0.8750
0.1250 0.8750 0.7500
0.2500 0.6250 0.8750
0.6250 0.3750 0.7500
0.2500 0.1250 0.3750
0.7500 0.3750 0.1250
0.3750 0.6250 0.2500
0.7500 0.8750 0.6250
0.6250 0.2500 0.3750
0.3750 0.7500 0.6250
0.6796 0.2022 0.5863
0.4137 0.2978 0.3204
0.9774 0.5933 0.1796
0.5863 0.8841 0.4067
0.7022 0.1159 0.0226
0.0933 0.9137 0.1159
0.1159 0.7022 0.5226
0.0933 0.1796 0.4774
0.5226 0.3204 0.9067
0.3841 0.4067 0.0863
0.4774 0.6796 0.0933
0.2022 0.5226 0.6159
0.9137 0.0933 0.6159
0.6159 0.5933 0.9137
0.0863 0.9067 0.3841
0.2978 0.4137 0.8204
0.2978 0.8841 0.9774
0.8204 0.9137 0.2978
0.1796 0.0863 0.7022
0.7022 0.5863 0.1796
0.0863 0.1796 0.2022
0.9067 0.8204 0.5226
0.7978 0.3204 0.9137
0.5863 0.7022 0.6796
0.4774 0.7978 0.8841
0.5226 0.2022 0.1159
0.8841 0.5863 0.9067
0.6159 0.0226 0.2022
0.5933 0.9774 0.6796
0.3204 0.5226 0.4067
0.8841 0.2978 0.4774
0.0226 0.4067 0.8204
0.7978 0.4774 0.3841
0.1796 0.0933 0.9774
0.1159 0.4137 0.0933
0.3841 0.9774 0.7978
0.4067 0.0226 0.3204
0.6796 0.4774 0.5933
0.4137 0.1159 0.5933
0.9137 0.8204 0.7978
0.9774 0.3841 0.2978
0.9067 0.0863 0.8841
0.3204 0.7978 0.4137
0.0226 0.6159 0.7022
0.2022 0.6796 0.0863
0.4067 0.3841 0.5863
0.5933 0.6159 0.4137
0.8204 0.9067 0.0226
0.7500 0.6250 0.3750
0.2500 0.8750 0.1250
0.6250 0.7500 0.8750
0.5000 0.5000 0.5000
0.0000 0.5000 0.0000
0.2500 0.3750 0.6250
0.0000 0.0000 0.0000
0.3750 0.1250 0.7500
0.1250 0.7500 0.3750
0.8750 0.2500 0.6250
0.7500 0.1250 0.8750
0.5000 0.0000 0.0000
0.3750 0.2500 0.1250
0.5000 0.0000 0.5000
0.0000 0.5000 0.5000
0.5000 0.5000 0.0000
0.8750 0.6250 0.7500
0.6250 0.8750 0.2500
0.1250 0.3750 0.2500
0.0000 0.0000 0.5000
```



Material: BaCo3H
Method: DFT, PBE
State: relaxed

Summary:
Offset from the most stable computed form (eV/atom): 0.000

```
BaCo3H
1.0
-0.6210 2.8357 -2.8767
-0.5089 -2.9422 -2.7904
-4.0072 -0.0658 0.8002
Co H Ba
3 1 1
Direct
0.0000 0.0000 0.5000
0.5000 0.0000 0.0000
0.0000 0.5000 0.0000
0.0000 0.0000 0.0000
0.5000 0.5000 0.5000
```



Material: Cr3HgB
Method: DFT, PBE
State: relaxed

Summary:
Offset from the most stable computed form (eV/atom): 0.000
E_form (eV/atom): 0.416

```
Cr3HgB
1.0
4.0070 0.0000 0.0000
0.0000 4.0070 0.0000
0.0000 0.0000 4.0070
Hg Cr B
1 3 1
Direct
0.5000 0.5000 0.5000
0.0000 0.5000 0.0000
0.5000 0.0000 0.0000
0.0000 0.0000 0.5000
0.0000 0.0000 0.0000
```



Material: TiReSe2
Method: DFT, PBE
State: relaxed

Summary:
Offset from the most stable computed form (eV/atom): 0.040
Energy relative to the elements, uncorrected (eV/atom): -0.029

```
TiReSe2
1.0
0.0000 3.1600 3.1600
3.1600 0.0000 3.1600
3.1600 3.1600 0.0000
Re Ti Se
1 1 2
Direct
0.5000 0.5000 0.5000
0.0000 0.0000 0.0000
0.2500 0.2500 0.2500
0.7500 0.7500 0.7500
```



Material: LiZrTe3
Method: DFT, PBE
State: relaxed

Summary:
Offset from the most stable computed form (eV/atom): 0.864
Energy relative to the elements, uncorrected (eV/atom): 0.167

```
LiZrTe3
1.0
-2.7368 4.2344 0.2496
-2.6946 -1.5062 -3.9941
-3.2759 -2.2986 3.0769
Te Li Zr
3 1 1
Direct
0.0000 0.0000 0.5000
0.0000 0.5000 0.0000
0.5000 0.0000 0.0000
0.0000 0.0000 0.0000
0.5000 0.5000 0.5000
```



Material: CSe2F
Method: DFT, PBE
State: relaxed

Summary:
Offset from the most stable computed form (eV/atom): 0.902
Energy relative to the elements, uncorrected (eV/atom): 1.164

```
CSe2F
1.0
-0.0466 -3.3279 2.6307
0.7111 0.5621 4.1444
-3.1722 -0.4633 2.7785
C Se F
1 2 1
Direct
0.0000 0.0000 0.0000
0.2500 0.2500 0.2500
0.7500 0.7500 0.7500
0.5000 0.5000 0.5000
```



Material: Gd3H12Ru5
Method: DFT, PBE
State: relaxed

Summary:
VASP energy (eV per atom): -6.67

```
Gd3H12Ru5
1.0
9.9873 0.0000 0.0000
-3.3291 9.4161 0.0000
-3.3291 -4.7080 8.1546
H Ru Gd
48 20 12
Direct
0.1747 0.0908 0.6949
0.5908 0.6949 0.6747
0.6949 0.5908 0.1747
0.9092 0.0839 0.6040
0.0908 0.9161 0.3960
0.9092 0.8253 0.8051
0.5839 0.9799 0.6747
0.8960 0.5908 0.9161
0.0908 0.1747 0.1949
0.1040 0.6949 0.5201
0.1040 0.4092 0.0839
0.8253 0.9092 0.3051
0.6949 0.1040 0.0201
0.1949 0.5201 0.6040
0.6747 0.1949 0.5908
0.3253 0.5201 0.4161
0.0839 0.9092 0.1040
0.8960 0.3051 0.4799
0.9799 0.5839 0.1747
0.9161 0.8253 0.5201
0.4161 0.0201 0.3253
0.6040 0.0201 0.1949
0.4161 0.3960 0.5908
0.5908 0.8960 0.4161
0.8253 0.9161 0.0201
0.4092 0.3051 0.3253
0.3960 0.9799 0.8051
0.8051 0.4799 0.3960
0.3960 0.4161 0.0908
0.3253 0.8051 0.4092
0.1949 0.6747 0.0908
0.6040 0.5839 0.9092
0.9161 0.0908 0.8960
0.0839 0.1747 0.4799
0.9799 0.3960 0.3051
0.8051 0.3253 0.9092
0.3051 0.8960 0.9799
0.4799 0.6747 0.0839
0.0201 0.4161 0.8253
0.1747 0.0839 0.9799
0.4799 0.8051 0.8960
0.5201 0.3253 0.9161
0.4092 0.1040 0.5839
0.5839 0.6040 0.4092
0.5201 0.1949 0.1040
0.6747 0.4799 0.5839
0.0201 0.6040 0.6949
0.3051 0.4092 0.8253
0.5000 0.0000 0.0000
0.8750 0.2500 0.6250
0.6250 0.8750 0.2500
0.7500 0.6250 0.3750
0.2500 0.3750 0.6250
0.5000 0.5000 0.5000
0.5000 0.5000 0.0000
0.0000 0.5000 0.5000
0.8750 0.6250 0.7500
0.1250 0.3750 0.2500
0.5000 0.0000 0.5000
0.6250 0.7500 0.8750
0.0000 0.0000 0.5000
0.2500 0.8750 0.1250
0.3750 0.2500 0.1250
0.3750 0.1250 0.7500
0.1250 0.7500 0.3750
0.0000 0.0000 0.0000
0.7500 0.1250 0.8750
0.0000 0.5000 0.0000
0.6250 0.2500 0.3750
0.2500 0.1250 0.3750
0.8750 0.1250 0.2500
0.3750 0.7500 0.6250
0.2500 0.6250 0.8750
0.7500 0.3750 0.1250
0.8750 0.7500 0.1250
0.1250 0.8750 0.7500
0.7500 0.8750 0.6250
0.6250 0.3750 0.7500
0.1250 0.2500 0.8750
0.3750 0.6250 0.2500
```



Material: LiNpBiRu
Method: DFT, PBE
State: relaxed

Summary:
E_form (eV/atom): 0.029

```
LiNpBiRu
1.0
-2.1490 1.0102 4.1667
-2.7475 -3.2959 2.1420
1.4930 -2.1076 4.0410
Li Ru Bi Np
1 1 1 1
Direct
0.0000 0.0000 0.0000
0.5000 0.5000 0.5000
0.2500 0.2500 0.2500
0.7500 0.7500 0.7500
```



no.,DOS at the Fermi energy (states/eV/f.u.)
1,10.7
2,10.1
3,4.2
4,5.3
5,5.5
6,2.0
7,8.6
8,11.3